A plane-wave DFT calculation with GGA+U was carried out for Al2NiO4 after structural relaxation.

Cell: 5.6732 5.7825 8.1296 Å, 90.00 90.00 90.00°
Space group Imma (No. 74)
Unique sites:
Al: 0.0000 0.0000 0.0000
Al: 0.0000 0.2500 0.3667
Ni: 0.2500 0.2500 0.7500
O: 0.0000 0.0022 0.2339
O: 0.2350 0.2500 0.0040

Output
- Energy above the most stable polymorph in this dataset: 0 meV/atom